This record from the Alexandria database describes a relaxed structure of PmFe3H6. The functional is GGA-PBE.

a = 4.712 Å, b = 4.711 Å, c = 5.035 Å
α = 90.00°, β = 117.78°, γ = 119.97°
Atoms (fractional coordinates):
Pm (0.790, 0.895, 0.685)
Fe (0.670, 0.335, 0.006)
Fe (0.343, 0.672, 0.016)
Fe (0.262, 0.131, 0.393)
H (0.340, 0.429, 0.749)
H (0.162, 0.743, 0.218)
H (0.798, 0.054, 0.217)
H (0.321, 0.912, 0.750)
H (0.839, 0.409, 0.750)
H (0.475, 0.420, 0.218)

The value obtained for the calculated total energy is -51.17 eV/cell.

---

This record from the Alexandria database describes a relaxed structure of PmFe2H7. The functional is GGA-PBE.

a = 3.509 Å, b = 5.021 Å, c = 4.880 Å
α = 120.96°, β = 90.00°, γ = 90.00°
Atoms (fractional coordinates):
Pm (0.000, 0.000, 0.000)
Fe (0.500, 0.307, 0.614)
Fe (0.500, 0.693, 0.386)
H (0.000, 0.309, 0.619)
H (0.000, 0.691, 0.381)
H (0.500, 0.330, 0.288)
H (0.500, 0.670, 0.712)
H (0.500, 0.042, 0.712)
H (0.500, 0.958, 0.288)
H (0.500, 0.500, 0.000)

The value obtained for the calculated total energy is -46.73 eV/cell.

---

This record from the Alexandria database describes a relaxed structure of Pm2FeH8. The functional is GGA-PBE.

a = 3.565 Å, b = 4.232 Å, c = 7.164 Å
α = 107.17°, β = 104.41°, γ = 90.00°
Atoms (fractional coordinates):
Pm (0.858, 0.358, 0.716)
Pm (0.142, 0.642, 0.284)
Fe (0.500, 0.000, 0.000)
H (0.404, 0.679, 0.807)
H (0.598, 0.878, 0.195)
H (0.761, 0.761, 0.521)
H (0.000, 0.173, 0.000)
H (0.239, 0.239, 0.479)
H (0.402, 0.122, 0.805)
H (0.596, 0.321, 0.193)
H (0.000, 0.827, 0.000)

The value obtained for the calculated total energy is -48.30 eV/cell.

---

This record from the Alexandria database describes a relaxed structure of Pm2FeH. The functional is GGA-PBE.

a = 3.256 Å, b = 3.256 Å, c = 7.048 Å
α = 90.00°, β = 90.00°, γ = 90.00°
Atoms (fractional coordinates):
H (0.500, 0.500, 0.500)
Fe (0.500, 0.500, 0.000)
Pm (0.000, 0.000, 0.755)
Pm (0.000, 0.000, 0.245)

The value obtained for the calculated total energy is -20.85 eV/cell. The polymorph energy (0 for the lowest one) is 0.000 eV/atom.

---

This record from the Alexandria database describes a relaxed structure of PmFe2H6. The functional is GGA-PBE.

a = 4.363 Å, b = 4.397 Å, c = 4.397 Å
α = 120.00°, β = 90.00°, γ = 90.00°
Atoms (fractional coordinates):
Pm (0.000, 0.000, 0.000)
Fe (0.500, 0.333, 0.667)
Fe (0.500, 0.667, 0.333)
H (0.754, 0.000, 0.500)
H (0.754, 0.500, 0.000)
H (0.246, 0.000, 0.500)
H (0.246, 0.500, 0.500)
H (0.246, 0.500, 0.000)
H (0.754, 0.500, 0.500)

The value obtained for the calculated total energy is -44.46 eV/cell.

---

This record from the Alexandria database describes a relaxed structure of PmZnFe2H8. The functional is GGA-PBE.

a = 4.493 Å, b = 4.493 Å, c = 6.465 Å
α = 90.00°, β = 90.00°, γ = 120.00°
Atoms (fractional coordinates):
Pm (0.000, 0.000, 0.500)
Zn (0.000, 0.000, 0.000)
Fe (0.333, 0.667, 0.842)
Fe (0.667, 0.333, 0.158)
H (0.147, 0.293, 0.789)
H (0.147, 0.853, 0.789)
H (0.707, 0.853, 0.789)
H (0.293, 0.147, 0.211)
H (0.667, 0.333, 0.401)
H (0.333, 0.667, 0.599)
H (0.853, 0.707, 0.211)
H (0.853, 0.147, 0.211)

The value obtained for the calculated total energy is -47.86 eV/cell.

---

This record from the Alexandria database describes a relaxed structure of PmZn2FeH8. The functional is GGA-PBE.

a = 4.309 Å, b = 4.636 Å, c = 6.284 Å
α = 54.56°, β = 88.78°, γ = 90.54°
Atoms (fractional coordinates):
Pm (0.000, 0.000, 0.500)
Zn (0.501, 0.330, 0.802)
Zn (0.499, 0.670, 0.198)
Fe (0.000, 0.000, 0.000)
H (0.077, 0.674, 0.295)
H (0.816, 0.734, 0.960)
H (0.744, 0.090, 0.137)
H (0.923, 0.326, 0.705)
H (0.184, 0.266, 0.040)
H (0.256, 0.910, 0.863)
H (0.494, 0.753, 0.553)
H (0.506, 0.247, 0.447)

The value obtained for the calculated total energy is -44.35 eV/cell.

---

This record from the Alexandria database describes a relaxed structure of PrFe3H6. The functional is GGA-PBE.

a = 4.751 Å, b = 4.751 Å, c = 5.094 Å
α = 89.99°, β = 117.80°, γ = 120.00°
Atoms (fractional coordinates):
Pr (0.788, 0.894, 0.682)
Fe (0.671, 0.336, 0.007)
Fe (0.343, 0.672, 0.015)
Fe (0.260, 0.130, 0.390)
H (0.345, 0.430, 0.756)
H (0.159, 0.744, 0.212)
H (0.797, 0.054, 0.212)
H (0.326, 0.914, 0.756)
H (0.842, 0.412, 0.756)
H (0.469, 0.415, 0.212)

The value obtained for the calculated total energy is -50.92 eV/cell.

---

This record from the Alexandria database describes a relaxed structure of Pr2Fe17H3. The functional is GGA-PBE.

a = 6.469 Å, b = 6.469 Å, c = 6.469 Å
α = 84.48°, β = 84.48°, γ = 84.48°
Atoms (fractional coordinates):
Pr (0.655, 0.655, 0.655)
Pr (0.345, 0.345, 0.345)
Fe (0.000, 0.000, 0.500)
Fe (0.000, 0.500, 0.000)
Fe (0.500, 0.000, 0.000)
Fe (0.282, 0.718, 0.000)
Fe (0.718, 0.000, 0.282)
Fe (0.000, 0.282, 0.718)
Fe (0.282, 0.000, 0.718)
Fe (0.000, 0.718, 0.282)
Fe (0.718, 0.282, 0.000)
Fe (0.341, 0.341, 0.850)
Fe (0.341, 0.850, 0.341)
Fe (0.850, 0.341, 0.341)
Fe (0.659, 0.659, 0.150)
Fe (0.659, 0.150, 0.659)
Fe (0.150, 0.659, 0.659)
Fe (0.903, 0.903, 0.903)
Fe (0.097, 0.097, 0.097)
H (0.500, 0.500, 0.000)
H (0.500, 0.000, 0.500)
H (0.000, 0.500, 0.500)

The value obtained for the calculated total energy is -163.97 eV/cell.

---

This record from the Alexandria database describes a relaxed structure of PrFeH6. The functional is GGA-PBE.

a = 5.293 Å, b = 5.293 Å, c = 5.293 Å
α = 60.00°, β = 60.00°, γ = 60.00°
Atoms (fractional coordinates):
Pr (0.500, 0.500, 0.500)
Fe (0.000, 0.000, 0.000)
H (0.793, 0.793, 0.207)
H (0.793, 0.207, 0.207)
H (0.207, 0.793, 0.793)
H (0.207, 0.207, 0.793)
H (0.207, 0.793, 0.207)
H (0.793, 0.207, 0.793)

The value obtained for the calculated total energy is -32.85 eV/cell. The polymorph energy (0 for the lowest one) is 0.304 eV/atom.

---

This record from the Alexandria database describes a relaxed structure of Pr2FeH. The functional is GGA-PBE.

a = 3.436 Å, b = 3.436 Å, c = 8.494 Å
α = 78.33°, β = 78.33°, γ = 60.00°
Atoms (fractional coordinates):
Pr (0.103, 0.103, 0.692)
Pr (0.897, 0.897, 0.308)
H (0.500, 0.500, 0.500)
Fe (0.000, 0.000, 0.000)

The value obtained for the calculated total energy is -19.51 eV/cell.

---

This record from the Alexandria database describes a relaxed structure of PrFeH6. The functional is GGA-PBE.

a = 4.561 Å, b = 4.561 Å, c = 4.494 Å
α = 59.50°, β = 59.50°, γ = 60.00°
Atoms (fractional coordinates):
Pr (0.500, 0.500, 0.500)
Fe (0.000, 0.000, 0.000)
H (0.101, 0.101, 0.216)
H (0.101, 0.583, 0.216)
H (0.417, 0.899, 0.784)
H (0.899, 0.417, 0.784)
H (0.899, 0.899, 0.784)
H (0.583, 0.101, 0.216)

The value obtained for the calculated total energy is -35.28 eV/cell. The polymorph energy (0 for the lowest one) is 0.000 eV/atom.